Computed, not measured: an optimized crystal structure of LiGdZn at the PBE level of DFT.

a b c (Å): 4.774 4.774 3.230
angles (deg): 90.00 90.00 120.00
Element x y z (fractional)
Li 0.000 0.000 0.000
Gd 0.667 0.333 0.498
Zn 0.333 0.667 0.998

- space-group type = P3m1 (156)
- ΔE_f (meV/atom) = -133.8
- raw total energy (eV per cell) = -17.67

=====

Computed, not measured: an optimized crystal structure of LiGdZn2 at the PBE level of DFT.

a b c (Å): 4.997 4.997 3.354
angles (deg): 90.00 90.00 90.00
Element x y z (fractional)
Li 0.000 0.000 0.000
Gd 0.500 0.500 0.000
Zn 0.000 0.500 0.500
Zn 0.500 0.000 0.500

- space-group type = P4/mmm (123)
- ΔE_f (meV/atom) = -157.2
- raw total energy (eV per cell) = -19.17